# 1
Material: Nd2Tl5Pb
Method: DFT, PBE
State: optimized geometry

Values from the calculation:
Calculated total energy in eV/atom: -3.46
Space group: Pbam, No. 55
ΔH_f (0 K) in eV/atom: -0.32

abc: 4.752 6.973 13.781
angles: 90.00 90.00 90.00
Sites, in units of the cell vectors:
1 Nd 0.500 0.241 0.376
2 Nd 0.500 0.759 0.624
3 Nd 0.500 0.259 0.876
4 Nd 0.500 0.741 0.124
5 Tl 0.500 0.239 0.127
6 Tl 0.500 0.761 0.873
7 Tl 0.500 0.739 0.373
8 Tl 0.500 0.261 0.627
9 Tl 0.000 0.011 0.750
10 Tl 0.000 0.989 0.250
11 Tl 0.000 0.511 0.750
12 Tl 0.000 0.489 0.250
13 Tl 0.000 0.500 0.500
14 Tl 0.000 0.000 0.000
15 Pb 0.000 0.000 0.500
16 Pb 0.000 0.500 0.000

# 2
Material: Mg16UAl12
Method: DFT, PBE
State: optimized geometry

Values from the calculation:
Calculated total energy in eV/atom: -2.85
Space group: I-43m, No. 217
Distance to the lowest polymorph of the same formula in eV/atom: 0.0000
ΔH_f (0 K) in eV/atom: -0.03

abc: 9.125 9.125 9.125
angles: 109.47 109.47 109.47
Sites, in units of the cell vectors:
1 Mg 0.605 0.605 0.285
2 Mg 0.000 0.000 0.640
3 Mg 0.321 0.321 0.715
4 Mg 0.360 0.360 0.360
5 Mg 0.679 0.395 0.000
6 Mg 0.605 0.285 0.605
7 Mg 0.000 0.679 0.395
8 Mg 0.000 0.640 0.000
9 Mg 0.715 0.321 0.321
10 Mg 0.395 0.000 0.679
11 Mg 0.000 0.395 0.679
12 Mg 0.321 0.715 0.321
13 Mg 0.640 0.000 0.000
14 Mg 0.285 0.605 0.605
15 Mg 0.679 0.000 0.395
16 Mg 0.395 0.679 0.000
17 U 0.000 0.000 0.000
18 Al 0.815 0.815 0.181
19 Al 0.634 0.634 0.819
20 Al 0.366 0.185 0.000
21 Al 0.185 0.000 0.366
22 Al 0.819 0.634 0.634
23 Al 0.181 0.815 0.815
24 Al 0.366 0.000 0.185
25 Al 0.815 0.181 0.815
26 Al 0.000 0.366 0.185
27 Al 0.634 0.819 0.634
28 Al 0.000 0.185 0.366
29 Al 0.185 0.366 0.000

# 3
Material: MnBe2Br
Method: DFT, PBE
State: optimized geometry

Values from the calculation:
Calculated total energy in eV/atom: -4.23
Formation energy (no corrections) in eV per atom: 0.344
Space group: P2/m, No. 10
Distance to the lowest polymorph of the same formula in eV/atom: 0.1570

abc: 3.064 3.166 5.846
angles: 89.90 90.00 90.00
Sites, in units of the cell vectors:
1 Be 0.000 0.250 0.925
2 Be 0.000 0.250 0.575
3 Mn 0.500 0.750 0.750
4 Br 0.500 0.250 0.250

# 4
Material: CeB2IrRu
Method: DFT, PBE
State: optimized geometry

Values from the calculation:
Calculated total energy in eV/atom: -8.06
Space group: I-4m2, No. 119
ΔH_f (0 K) in eV/atom: -0.57

abc: 3.926 3.926 5.556
angles: 110.69 110.69 90.00
Sites, in units of the cell vectors:
1 Ce 0.000 0.000 0.000
2 B 0.658 0.658 0.316
3 B 0.342 0.342 0.684
4 Ir 0.250 0.750 0.500
5 Ru 0.750 0.250 0.500

# 5
Material: LuCdSnPd
Method: DFT, PBE
State: optimized geometry

Values from the calculation:
Calculated total energy in eV/atom: -4.14
Space group: F-43m, No. 216
ΔH_f (0 K) in eV/atom: -0.48

abc: 4.921 4.921 4.921
angles: 60.00 60.00 60.00
Sites, in units of the cell vectors:
1 Lu 0.000 0.000 0.000
2 Sn 0.500 0.500 0.500
3 Pd 0.250 0.250 0.250
4 Cd 0.750 0.750 0.750

# 6
Material: Cu2PAu2
Method: DFT, PBE
State: optimized geometry

Values from the calculation:
Calculated total energy in eV/atom: -3.90
Space group: P4/mbm, No. 127
ΔH_f (0 K) in eV/atom: 0.13

abc: 6.088 6.088 4.168
angles: 90.00 90.00 90.00
Sites, in units of the cell vectors:
1 P 0.000 0.000 0.000
2 P 0.500 0.500 0.000
3 Au 0.163 0.663 0.500
4 Au 0.663 0.837 0.500
5 Au 0.837 0.337 0.500
6 Au 0.337 0.163 0.500
7 Cu 0.352 0.852 0.000
8 Cu 0.852 0.648 0.000
9 Cu 0.648 0.148 0.000
10 Cu 0.148 0.352 0.000

# 7
Material: MoAs2AuSe
Method: DFT, PBE
State: optimized geometry

Values from the calculation:
Calculated total energy in eV/atom: -4.87
Formation energy (no corrections) in eV per atom: 0.509
Space group: P4/mmm, No. 123
Distance to the lowest polymorph of the same formula in eV/atom: 0.0000

abc: 4.938 4.938 4.780
angles: 90.00 90.00 90.00
Sites, in units of the cell vectors:
1 Mo 0.000 0.000 0.000
2 Au 0.500 0.500 0.500
3 As 0.000 0.500 0.000
4 As 0.500 0.000 0.000
5 Se 0.000 0.000 0.500

# 8
Material: ZrS2ClF
Method: DFT, PBE
State: optimized geometry

Values from the calculation:
Calculated total energy in eV/atom: -4.13
Formation energy (no corrections) in eV per atom: -0.027
Space group: P4/mmm, No. 123
Distance to the lowest polymorph of the same formula in eV/atom: 0.6827

abc: 4.222 4.222 4.906
angles: 90.00 90.00 90.00
Sites, in units of the cell vectors:
1 S 0.000 0.500 0.000
2 S 0.500 0.000 0.000
3 F 0.000 0.000 0.000
4 Zr 0.500 0.500 0.500
5 Cl 0.000 0.000 0.500

# 9
Material: Mg2ZnSi
Method: DFT, PBE
State: optimized geometry

Values from the calculation:
Calculated total energy in eV/atom: -2.21
Formation energy (no corrections) in eV per atom: 0.257
Space group: I-42d, No. 122

abc: 4.151 4.151 9.736
angles: 77.69 77.69 90.00
Sites, in units of the cell vectors:
1 Mg 0.625 0.125 0.250
2 Mg 0.125 0.625 0.250
3 Mg 0.375 0.375 0.750
4 Mg 0.875 0.875 0.750
5 Zn 0.000 0.000 0.000
6 Zn 0.750 0.250 0.500
7 Si 0.500 0.500 0.000
8 Si 0.250 0.750 0.500

# 10
Material: CsCd3Re
Method: DFT, PBE
State: optimized geometry

Values from the calculation:
Calculated total energy in eV/atom: -2.57
Space group: Pm-3m, No. 221
ΔH_f (0 K) in eV/atom: 0.64

abc: 5.462 5.462 5.462
angles: 90.00 90.00 90.00
Sites, in units of the cell vectors:
1 Cs 0.500 0.500 0.500
2 Re 0.000 0.000 0.000
3 Cd 0.000 0.500 0.000
4 Cd 0.000 0.000 0.500
5 Cd 0.500 0.000 0.000

# 11
Material: Tb2Pr8Y
Method: DFT, PBE
State: optimized geometry

Values from the calculation:
Calculated total energy in eV/atom: -4.75
Space group: C2/m, No. 12
ΔH_f (0 K) in eV/atom: 0.16

abc: 6.775 10.473 10.473
angles: 38.43 59.92 59.92
Sites, in units of the cell vectors:
1 Tb 0.583 0.804 0.804
2 Tb 0.417 0.196 0.196
3 Pr 0.233 0.349 0.825
4 Pr 0.767 0.175 0.651
5 Pr 0.168 0.756 0.756
6 Pr 0.832 0.244 0.244
7 Pr 0.233 0.825 0.349
8 Pr 0.767 0.651 0.175
9 Pr 0.727 0.595 0.595
10 Pr 0.273 0.405 0.405
11 Y 0.000 0.000 0.000